TaCo2W | Alexandria via LeMat-Bulk | PBE | optimized geometry; formation energy from the elements = 197 meV/atom; Fermi-level density of states = 1.161 states/eV/atom; DFT total energy = -9.56 eV/atom; space-group type = F-43m, No. 216
1.0
6.052 0.000 0.000
0.000 6.052 0.000
0.000 0.000 6.052
Ta Co W
4 8 4
Cartesian
0.000 0.000 0.000
0.000 3.026 3.026
3.026 0.000 3.026
3.026 3.026 0.000
0.000 0.000 3.026
0.000 3.026 0.000
1.513 1.513 4.539
1.513 4.539 1.513
3.026 0.000 0.000
3.026 3.026 3.026
4.539 1.513 1.513
4.539 4.539 4.539
1.513 1.513 1.513
1.513 4.539 4.539
4.539 1.513 4.539
4.539 4.539 1.513

=====

YTa2Co | Alexandria via LeMat-Bulk | PBE | optimized geometry; formation energy from the elements = 561 meV/atom; polymorph energy (0 for the lowest one) = 492 meV/atom; Fermi-level density of states = 1.299 states/eV/atom; DFT total energy = -8.76 eV/atom; space-group type = Cmmm, No. 65
1.0
5.361 0.000 0.000
0.000 9.683 0.000
0.000 0.000 2.884
Y Ta Co
2 4 2
Cartesian
0.000 0.000 0.000
2.681 4.841 0.000
1.340 2.421 1.442
1.340 7.262 1.442
4.021 2.421 1.442
4.021 7.262 1.442
0.000 4.841 0.000
2.681 0.000 0.000

=====

Y3TaCo | Alexandria via LeMat-Bulk | PBE | optimized geometry; formation energy from the elements = 538 meV/atom; polymorph energy (0 for the lowest one) = 0 meV/atom; Fermi-level density of states = 1.127 states/eV/atom; DFT total energy = -7.13 eV/atom; space-group type = Pm-3m, No. 221
1.0
5.118 0.000 0.000
0.000 5.118 0.000
0.000 0.000 5.118
Y Ta Co
3 1 1
Cartesian
0.000 0.000 2.559
0.000 2.559 0.000
2.559 0.000 0.000
2.559 2.559 2.559
0.000 0.000 0.000

=====

YTa2Co | Alexandria via LeMat-Bulk | PBE | optimized geometry; formation energy from the elements = 617 meV/atom; polymorph energy (0 for the lowest one) = 548 meV/atom; Fermi-level density of states = 1.210 states/eV/atom; DFT total energy = -8.70 eV/atom; space-group type = P4/mmm, No. 123
1.0
4.793 0.000 0.000
0.000 4.793 0.000
0.000 0.000 3.153
Y Ta Co
1 2 1
Cartesian
0.000 0.000 0.000
0.000 2.397 1.577
2.397 0.000 1.577
2.397 2.397 0.000

=====

YTa2Co | Alexandria via LeMat-Bulk | PBE | optimized geometry; formation energy from the elements = 213 meV/atom; polymorph energy (0 for the lowest one) = 144 meV/atom; Fermi-level density of states = 1.282 states/eV/atom; DFT total energy = -9.11 eV/atom; space-group type = P4/mmm, No. 123
1.0
3.115 0.000 0.000
0.000 3.115 0.000
0.000 0.000 7.688
Y Ta Co
1 2 1
Cartesian
0.000 0.000 0.000
1.557 1.557 2.381
1.557 1.557 5.308
0.000 0.000 3.844

=====

YTa2Co2 | Alexandria via LeMat-Bulk | PBE | optimized geometry; formation energy from the elements = 169 meV/atom; polymorph energy (0 for the lowest one) = 331 meV/atom; Fermi-level density of states = 1.244 states/eV/atom; DFT total energy = -8.71 eV/atom; space-group type = I4/mmm, No. 139
1.0
4.425 0.000 0.000
0.000 4.425 0.000
0.000 0.000 9.634
Y Ta Co
2 4 4
Cartesian
0.000 0.000 0.000
2.213 2.213 4.817
0.000 0.000 3.389
0.000 0.000 6.244
2.213 2.213 1.428
2.213 2.213 8.206
0.000 2.213 2.408
0.000 2.213 7.225
2.213 0.000 2.408
2.213 0.000 7.225

=====

DFT total energy of number 5 (YTa2Co)? -9.11 eV/atom